The following is a DFT calculation (PBE) of a relaxed structure of CaTl2NiBi.

POSCAR file:
```
CaTl2NiBi
1.0
5.8953 0.0000 0.0000
0.0000 4.7270 0.0000
0.0000 0.0000 5.8953
Tl Ca Bi Ni
2 1 1 1
direct
0.5000 0.0000 0.0000
0.0000 0.0000 0.5000
0.0000 0.0000 0.0000
0.5000 0.5000 0.5000
0.0000 0.5000 0.0000
```

Properties
ΔE to the lowest computed polymorph = 855 meV per atom
space-group type = No. 123
E = -2.56 eV per atom
M_tot = 0.000 μB per formula unit
N(E_F) = 4.757 states/eV/cell